No. 1
A plane-wave DFT calculation with GGA-PBE was carried out for a relaxed FeBH2S crystal.

Spin magnetization (μB/atom): 0.52
D(E_F) (states/eV/f.u.): 3.19
Crystal system: tetragonal

a = 3.1588 Å, b = 3.1588 Å, c = 4.6976 Å
α = 90.00°, β = 90.00°, γ = 90.00°
Space group P4/mmm (No. 123)
Asymmetric unit:
Fe 0.0000 0.0000 0.0000 x1
B 0.5000 0.5000 0.5000 x1
H 0.0000 0.5000 0.5000 x2
S 0.5000 0.5000 0.0000 x1


No. 2
A plane-wave DFT calculation with GGA-PBE was carried out for a relaxed Fe2BHSe crystal.

Spin magnetization (μB/atom): 0.49
D(E_F) (states/eV/f.u.): 3.64
Crystal system: tetragonal

a = 3.9500 Å, b = 3.9500 Å, c = 2.9535 Å
α = 90.00°, β = 90.00°, γ = 90.00°
Space group P4/mmm (No. 123)
Asymmetric unit:
Fe 0.0000 0.5000 0.0000 x2
B 0.0000 0.0000 0.5000 x1
H 0.0000 0.0000 0.0000 x1
Se 0.5000 0.5000 0.5000 x1


| no. | energy (eV per atom) |
| --- | --- |
| 1 | -4.5503 |
| 2 | -5.5194 |